# PBE La6Sn2SbTe3, relaxed
# M_tot, Bohr magnetons per cell: 0.0
# Final energy, eV/atom: -5.565
# Volume, Å³ per atom: 35.00
# Raw formation energy, meV/atom: -1305
# Space group: C2/m (12)
# Theoretical density, g/cm³: 6.23
data_La6Sn2SbTe3
_cell_length_a 10.331
_cell_length_b 10.331
_cell_length_c 9.241
_cell_angle_alpha 102.68
_cell_angle_beta 102.68
_cell_angle_gamma 25.91
_space_group_name_H-M_alt 'P 1'
_space_group_IT_number 1
_space_group_name_Hall 'P 1'
loop_
_atom_site_label
_atom_site_fract_x
_atom_site_fract_y
_atom_site_fract_z
La1 0.003 0.003 0.246
La2 0.331 0.331 0.422
La3 0.335 0.335 0.910
La4 0.665 0.665 0.090
La5 0.669 0.669 0.578
La6 0.997 0.997 0.754
Sn1 0.166 0.166 0.332
Sn2 0.834 0.834 0.668
Sb1 0.500 0.500 0.000
Te1 0.166 0.166 0.833
Te2 0.500 0.500 0.500
Te3 0.834 0.834 0.167